Record 1
DFT (PBE) results for a relaxed structure of Tb5Dy8Ho.

Computed properties:
For the calculated formation energy, the calculation gives 0.254 eV/atom. Its volume is 32.502 Å³/atom. Its total magnetization is 0.00 μB/f.u.

Lattice parameters (Å, degrees): 9.5167 9.5167 10.0481 90.00 90.00 90.00
Space group I-4 (No. 82)
Unique sites:
Tb 0.0000 0.0000 0.0000 (multiplicity 2)
Tb 0.1099 0.7891 0.4240 (multiplicity 8)
Dy 0.0705 0.6757 0.0952 (multiplicity 8)
Dy 0.0874 0.8249 0.7527 (multiplicity 8)
Ho 0.0000 0.5000 0.7500 (multiplicity 2)

***

Record 2
DFT (PBE) results for a relaxed structure of Tb6DyHo5.

Computed properties:
For the calculated formation energy, the calculation gives 0.016 eV/atom. Its volume is 31.224 Å³/atom. Its total magnetization is 0.00 μB/f.u.

Lattice parameters (Å, degrees): 6.1283 10.6024 11.7098 90.00 99.96 90.00
Space group C2/m (No. 12)
Unique sites:
Tb 0.2495 0.0000 0.2502 (multiplicity 4)
Tb 0.2504 0.1667 0.7498 (multiplicity 8)
Dy 0.0000 0.5000 0.0000 (multiplicity 2)
Ho 0.0000 0.0000 0.5000 (multiplicity 2)
Ho 0.0000 0.1667 0.0000 (multiplicity 4)
Ho 0.0000 0.3333 0.5000 (multiplicity 4)

***

Record 3
DFT (PBE) results for a relaxed structure of Tb8Dy2Ho.

Computed properties:
For the calculated formation energy, the calculation gives 0.173 eV/atom. Its volume is 32.299 Å³/atom. Its total magnetization is 0.00 μB/f.u. For the polymorph energy (0 for the lowest one), the calculation gives 5 meV per atom.

Lattice parameters (Å, degrees): 16.4581 6.6331 6.6170 90.00 100.37 90.00
Space group C2/m (No. 12)
Unique sites:
Tb 0.0881 0.2375 0.4041 (multiplicity 8)
Tb 0.0901 0.0000 0.9078 (multiplicity 4)
Tb 0.2440 0.5000 0.3120 (multiplicity 4)
Dy 0.2002 0.5000 0.8013 (multiplicity 4)
Ho 0.0000 0.5000 0.0000 (multiplicity 2)

***

Q: Number 3 is which compound?
A: Tb8Dy2Ho